Record 1
Computed, not measured: a relaxed structure of Rb2FeH at the GGA-PBE level of DFT.

Calculated values
As for the space group: I-42d (122). Its total DFT energy (no corrections) is -2.5968 eV/atom.

a = 8.3959 Å, b = 8.3959 Å, c = 7.3979 Å
α = 55.43°, β = 55.43°, γ = 90.00°
With the nearest neighbours (Å) after each atom.
Fractional coordinates of all 8 atoms:
Fe 0.7500 0.2500 0.5000  4 Rb 3.66
Rb 0.5436 0.1250 0.2500  2 H 2.76
Rb 0.2064 0.6250 0.2500  2 H 2.76
Rb 0.8750 0.7936 0.7500  2 H 2.76
H 0.2500 0.7500 0.5000  4 Rb 2.76
Rb 0.3750 0.4564 0.7500  2 H 2.76
Fe 0.0000 0.0000 0.0000  4 Rb 3.66
H 0.5000 0.5000 0.0000  4 Rb 2.76

***

Record 2
Computed, not measured: a relaxed structure of AcSc2CdHg4 at the GGA-PBE level of DFT.

Calculated values
The energy of formation from the pure elements comes out at -2.66 eV per formula unit. As for the space group: R-3m (166). Its total DFT energy (no corrections) is -2.6941 eV/atom.

a = 4.8992 Å, b = 4.8992 Å, c = 10.2803 Å
α = 76.21°, β = 76.21°, γ = 60.00°
With the nearest neighbours (Å) after each atom.
Fractional coordinates of all 8 atoms:
Sc 0.7712 0.7712 0.6864  7 Hg 2.88-3.15
Hg 0.8776 0.8776 0.3673  4 Sc 2.88-3.15, 3 Cd 3.12
Cd 0.5000 0.5000 0.5000  8 Hg 3.07-3.12, 6 Sc 3.38
Sc 0.2288 0.2288 0.3136  7 Hg 2.88-3.15
Hg 0.3965 0.3965 0.8106  1 Cd 3.07, 3 Sc 3.08, 3 Hg 3.33, 3 Ac 3.39
Hg 0.6035 0.6035 0.1894  1 Cd 3.07, 3 Sc 3.08, 3 Hg 3.33, 3 Ac 3.39
Hg 0.1224 0.1224 0.6327  4 Sc 2.88-3.15, 3 Cd 3.12
Ac 0.0000 0.0000 0.0000  8 Hg 3.39-3.63

***

Record 3
Computed, not measured: a relaxed structure of NaAg8Sn3 at the GGA-PBE level of DFT.

Calculated values
The energy of formation from the pure elements comes out at 0.19 eV per formula unit. As for the space group: P3m1 (156). Its total DFT energy (no corrections) is -2.9955 eV/atom.

a = 5.6856 Å, b = 5.6856 Å, c = 9.0019 Å
α = 90.00°, β = 90.00°, γ = 120.00°
With the nearest neighbours (Å) after each atom.
Fractional coordinates of all 12 atoms:
Ag 0.9933 0.4966 0.7484  6 Ag 2.79-2.90
Ag 0.3333 0.6667 0.9979  6 Ag 2.80-2.81
Ag 0.5034 0.4966 0.7484  6 Ag 2.79-2.90
Sn 0.6667 0.3333 0.4415  12 Ag 3.20-3.33, 3 Na 3.47, 1 Sn 3.51
Sn 0.6667 0.3333 0.0516  12 Ag 3.17-3.35, 4 Sn 3.41-3.51
Ag 0.6726 0.8363 0.2495  6 Ag 2.79-2.89
Na 0.0000 0.0000 0.5661  12 Ag 3.27-3.34, 4 Sn 3.46-3.47
Ag 0.3333 0.6667 0.4983  6 Ag 2.79-2.81
Ag 0.1637 0.8363 0.2495  6 Ag 2.79-2.89
Ag 0.5034 0.0067 0.7484  6 Ag 2.79-2.90
Sn 0.0000 0.0000 0.9508  12 Ag 3.14-3.38, 3 Sn 3.41, 1 Na 3.46
Ag 0.1637 0.3274 0.2495  6 Ag 2.79-2.89

***

Record 4
Computed, not measured: a relaxed structure of La6Pm5Cd at the GGA-PBE level of DFT.

Calculated values
The energy of formation from the pure elements comes out at -0.24 eV per formula unit. As for the space group: Immm (71). Its total DFT energy (no corrections) is -4.5397 eV/atom.

a = 5.1959 Å, b = 9.7099 Å, c = 9.7099 Å
α = 107.85°, β = 105.52°, γ = 105.52°
With the nearest neighbours (Å) after each atom.
Fractional coordinates of all 12 atoms:
Pm 0.5000 0.5000 0.5000  4 Pm 3.65, 8 La 3.67-3.70
La 0.7566 0.9209 0.5935  1 Cd 3.57, 7 Pm 3.59-3.69, 4 La 3.65-3.76
La 0.7417 0.2416 0.2416  2 Cd 3.58, 4 La 3.65-3.66, 6 Pm 3.66-3.70
La 0.2434 0.4065 0.0791  1 Cd 3.57, 7 Pm 3.59-3.69, 4 La 3.65-3.76
Pm 0.5000 0.8271 0.1729  8 La 3.59-3.67, 2 Pm 3.66, 2 Cd 3.76
La 0.2583 0.7584 0.7584  2 Cd 3.58, 4 La 3.65-3.66, 6 Pm 3.66-3.70
La 0.2434 0.0791 0.4065  1 Cd 3.57, 7 Pm 3.59-3.69, 4 La 3.65-3.76
Pm 0.0000 0.6633 0.3367  4 Pm 3.65-3.66, 8 La 3.67-3.69
Pm 0.0000 0.3367 0.6633  4 Pm 3.65-3.66, 8 La 3.67-3.69
Cd 0.0000 0.0000 0.0000  8 La 3.57-3.58, 4 Pm 3.76
La 0.7566 0.5935 0.9209  1 Cd 3.57, 7 Pm 3.59-3.69, 4 La 3.65-3.76
Pm 0.5000 0.1729 0.8271  8 La 3.59-3.67, 2 Pm 3.66, 2 Cd 3.76

***

Record 5
Computed, not measured: a relaxed structure of BaNpSi2O6 at the GGA-PBE level of DFT.

Calculated values
Its uncorrected formation energy is -2.57 eV per atom. As for the space group: C2/c (15). Its total DFT energy (no corrections) is -8.1137 eV/atom.

a = 7.1829 Å, b = 7.1829 Å, c = 6.8465 Å
α = 109.53°, β = 109.53°, γ = 80.11°
With the nearest neighbours (Å) after each atom.
Fractional coordinates of all 20 atoms:
O 0.1557 0.6282 0.3995  1 Si 1.64
Ba 0.9332 0.0668 0.7500  6 O 2.61-2.79
Si 0.5554 0.8893 0.3277  3 O 1.64-1.66
Np 0.3394 0.6606 0.7500  6 O 2.24-2.37
Np 0.6606 0.3394 0.2500  6 O 2.24-2.37
O 0.3298 0.3442 0.1461  1 Si 1.66
O 0.3718 0.8443 0.1005  1 Si 1.64
Ba 0.0668 0.9332 0.2500  6 O 2.61-2.79
O 0.3442 0.3298 0.6461  1 Si 1.66
O 0.7118 0.0284 0.3181  1 Si 1.66
O 0.9716 0.2882 0.1819  1 Si 1.66
O 0.6282 0.1557 0.8995  1 Si 1.64
O 0.2882 0.9716 0.6819  1 Si 1.66
O 0.6702 0.6558 0.8539  1 Si 1.66
O 0.6558 0.6702 0.3539  1 Si 1.66
O 0.8443 0.3718 0.6005  1 Si 1.64
Si 0.4446 0.1107 0.6723  3 O 1.64-1.66
O 0.0284 0.7118 0.8181  1 Si 1.66
Si 0.1107 0.4446 0.1723  3 O 1.64-1.66
Si 0.8893 0.5554 0.8277  3 O 1.64-1.66

***

Record 6
Computed, not measured: a relaxed structure of TlZn2GaGe at the GGA-PBE level of DFT.

Calculated values
The energy of formation from the pure elements comes out at 2.11 eV per formula unit. As for the space group: P4/mmm (123). Its total DFT energy (no corrections) is -2.0891 eV/atom.

a = 4.7633 Å, b = 5.8753 Å, c = 4.7633 Å
α = 90.00°, β = 90.00°, γ = 90.00°
With the nearest neighbours (Å) after each atom.
Fractional coordinates of all 5 atoms:
Zn 0.0000 0.0000 0.5000  2 Ge 2.38
Tl 0.0000 0.5000 0.0000  2 Ge 2.94
Zn 0.5000 0.0000 0.0000  2 Ge 2.38
Ga 0.5000 0.5000 0.5000  4 Tl 3.37
Ge 0.0000 0.0000 0.0000  4 Zn 2.38

***

Record 7
Computed, not measured: a relaxed structure of K2ZnTeSe at the GGA-PBE level of DFT.

Calculated values
Its uncorrected formation energy is -0.91 eV per atom. As for the space group: P2_1/m (11). Its total DFT energy (no corrections) is -2.9322 eV/atom. Its energy relative to the lowest polymorph listed for this composition is 0.0 kJ per mole of atoms.

a = 4.4249 Å, b = 8.2107 Å, c = 10.5978 Å
α = 108.11°, β = 90.00°, γ = 90.00°
With the nearest neighbours (Å) after each atom.
Fractional coordinates of all 10 atoms:
Zn 0.2500 0.4946 0.7408  1 Se 2.33
Te 0.2500 0.6984 0.3033  2 Zn 2.68
Se 0.2500 0.7930 0.8183  1 Zn 2.33
K 0.7500 0.8181 0.6057  2 Se 3.21
K 0.7500 0.7925 0.0410  3 Se 3.24-3.26
K 0.2500 0.2075 0.9590  3 Se 3.24-3.26
K 0.2500 0.1819 0.3943  2 Se 3.21
Zn 0.7500 0.5054 0.2592  1 Se 2.33
Se 0.7500 0.2070 0.1817  1 Zn 2.33
Te 0.7500 0.3016 0.6967  2 Zn 2.68

***

Record 8
Computed, not measured: a relaxed structure of YReRh2 at the GGA-PBE level of DFT.

Calculated values
The energy of formation from the pure elements comes out at -0.10 eV per formula unit. As for the space group: Imm2 (44). Its total DFT energy (no corrections) is -8.4284 eV/atom. Its energy relative to the lowest polymorph listed for this composition is 14.2 kJ per mole of atoms.

a = 5.7883 Å, b = 5.7883 Å, c = 5.7883 Å
α = 150.83°, β = 132.78°, γ = 56.47°
With the nearest neighbours (Å) after each atom.
Fractional coordinates of all 4 atoms:
Rh 0.7721 0.2721 0.5000  4 Re 2.79, 4 Rh 2.81-2.92
Re 0.2215 0.7215 0.5000  6 Rh 2.62-2.79, 2 Re 2.92
Y 0.4982 0.4982 0.0000  4 Rh 2.74, 2 Y 2.92
Rh 0.0082 0.0082 0.0000  2 Re 2.62, 4 Y 2.74, 4 Rh 2.81-2.92